DFT (PBE with a Hubbard U) results for crystalline MoHO3 at its relaxed geometry.

Fermi-level density of states   0.9 states/eV/f.u.
Uncorrected energy   -28.8 eV/cell
Space group   Pm-3m

a = 3.8312 Å, b = 3.8312 Å, c = 3.8312 Å
α = 90.00°, β = 90.00°, γ = 90.00°
With the nearest neighbours (Å) after each atom.
Fractional coordinates of all 5 atoms:
H (0.5000, 0.5000, 0.5000)  12 O 2.71
Mo (0.0000, 0.0000, 0.0000)  6 O 1.92
O (0.0000, 0.5000, 0.0000)  2 Mo 1.92
O (0.0000, 0.0000, 0.5000)  2 Mo 1.92
O (0.5000, 0.0000, 0.0000)  2 Mo 1.92